# 1
VASP calculation (PBE-GGA) on an optimized crystal structure of La2PrIn3.

```
6
Lattice="3.9299 0.0000 0.0000 0.0000 3.9299 0.0000 0.0000 0.0000 11.8558" Properties=species:S:1:pos:R:3 pbc="T T T"
La 0.0000 0.0000 1.9976
La 0.0000 0.0000 9.8582
Pr 0.0000 0.0000 5.9279
In 1.9650 1.9650 0.0000
In 1.9650 1.9650 4.0076
In 1.9650 1.9650 7.8482
```

SG: P4/mmm, No. 123
Total DFT energy (no corrections) (eV per atom): -4.32
Magnetization (μB per formula unit): 0.00
Fermi-level density of states (states/eV/atom): 0.708

---

# 2
VASP calculation (PBE-GGA) on an optimized crystal structure of LaPrIn.

```
3
Lattice="5.3603 0.0000 0.0000 -2.6801 4.6422 0.0000 0.0000 0.0000 3.7937" Properties=species:S:1:pos:R:3 pbc="T T T"
La 0.0000 0.0000 0.0000
Pr 2.6802 1.5474 2.3327
In 0.0000 3.0948 1.2674
```

SG: P3m1, No. 156
Total DFT energy (no corrections) (eV per atom): -4.42
Magnetization (μB per formula unit): 0.00
Fermi-level density of states (states/eV/atom): 0.735

---

# 3
VASP calculation (PBE-GGA) on an optimized crystal structure of La3PrIn4.

```
8
Lattice="3.9417 0.0000 0.0000 0.0000 3.9417 0.0000 0.0000 0.0000 15.7763" Properties=species:S:1:pos:R:3 pbc="T T T"
La 0.0000 0.0000 0.0000
La 0.0000 0.0000 3.9729
La 0.0000 0.0000 11.8034
Pr 0.0000 0.0000 7.8881
In 1.9709 1.9709 1.9834
In 1.9709 1.9709 5.9758
In 1.9709 1.9709 9.8005
In 1.9709 1.9709 13.7929
```

SG: P4/mmm, No. 123
Total DFT energy (no corrections) (eV per atom): -4.33
Magnetization (μB per formula unit): 0.00
Fermi-level density of states (states/eV/atom): 0.715

---

no.,energy of formation (eV per atom)
1,-0.509
2,-0.275
3,-0.512